[1]
{"formula": "TaMo3", "functional": "SCAN", "state": "single point on PBEsol structure", "spacegroup": "No. 65", "magnetic_moment_mub_per_cell": 0.00, "ef_ev_per_atom": -0.07, "lattice_angstrom": [[-1.0138, -1.2638, -2.2223], [1.3792, -1.8030, 1.5525], [-14.9150, -3.7260, 8.9231]], "species": ["Ta", "Ta", "Mo", "Mo", "Mo", "Mo", "Mo", "Mo"], "frac_coords": [[0.5000, 0.5000, 0.8724], [0.5000, 0.5000, 0.1276], [0.0000, 0.0000, 0.0000], [0.0000, 0.0000, 0.2555], [0.0000, 0.0000, 0.5000], [0.5000, 0.5000, 0.6228], [0.5000, 0.5000, 0.3772], [0.0000, 0.0000, 0.7445]]}


[2]
{"formula": "CuTeRhN2", "functional": "SCAN", "state": "single point on PBEsol structure", "e_form_raw_mev_per_atom": 1429, "spacegroup": "No. 123", "magnetic_moment_mub_per_cell": 3.52, "lattice_angstrom": [[-1.2384, 1.3848, 3.1943], [0.8813, -3.1553, 1.7096], [5.0327, 1.9944, 1.0864]], "species": ["Cu", "N", "N", "Rh", "Te"], "frac_coords": [[0.0000, 0.0000, 0.0000], [0.5000, 0.0000, 0.0000], [0.0000, 0.5000, 0.0000], [0.5000, 0.5000, 0.5000], [0.0000, 0.0000, 0.5000]]}


[3]
{"formula": "Li2PtW", "functional": "SCAN", "state": "single point on PBEsol structure", "spacegroup": "No. 139", "magnetic_moment_mub_per_cell": 0.00, "polymorph_energy_mev_per_atom": 265, "ef_ev_per_atom": 0.11, "lattice_angstrom": [[3.6200, 0.0000, 0.0000], [0.0000, 3.6200, 0.0000], [-1.8100, -1.8100, 4.5526]], "species": ["Li", "Li", "Pt", "W"], "frac_coords": [[0.7500, 0.2500, 0.5000], [0.2500, 0.7500, 0.5000], [0.5000, 0.5000, 0.0000], [0.0000, 0.0000, 0.0000]]}


[4]
{"formula": "YZnP2", "functional": "SCAN", "state": "single point on PBEsol structure", "spacegroup": "No. 123", "magnetic_moment_mub_per_cell": 0.00, "ef_ev_per_atom": -0.46, "lattice_angstrom": [[-0.7334, 2.6542, 2.1789], [-2.9415, -1.6353, 1.0019], [2.8046, -2.5576, 4.0594]], "species": ["P", "P", "Y", "Zn"], "frac_coords": [[0.0000, 0.0000, 0.2895], [0.0000, 0.0000, 0.7105], [0.5000, 0.5000, 0.0000], [0.5000, 0.5000, 0.5000]]}


[5]
{"formula": "Cr3AsIr", "functional": "SCAN", "state": "single point on PBEsol structure", "spacegroup": "No. 221", "magnetic_moment_mub_per_cell": 10.79, "ef_ev_per_atom": 0.84, "lattice_angstrom": [[-1.8547, -4.0261, -1.2877], [-0.9263, -0.9849, 4.4135], [-4.1242, 2.0318, -0.4122]], "species": ["Cr", "Cr", "Cr", "Ir", "As"], "frac_coords": [[0.5000, 0.0000, 0.0000], [0.0000, 0.0000, 0.5000], [0.0000, 0.5000, 0.0000], [0.0000, 0.0000, 0.0000], [0.5000, 0.5000, 0.5000]]}


[6]
{"formula": "CuI", "functional": "SCAN", "state": "single point on PBEsol structure", "e_form_raw_mev_per_atom": -133, "spacegroup": "No. 164", "magnetic_moment_mub_per_cell": 0.00, "lattice_angstrom": [[-1.1411, -2.3915, -3.0649], [3.8783, 1.1137, 0.3650], [1.2805, -5.7809, 4.0341]], "species": ["I", "I", "Cu", "Cu"], "frac_coords": [[0.3333, 0.6667, 0.7647], [0.6667, 0.3333, 0.2353], [0.6667, 0.3333, 0.5925], [0.3333, 0.6667, 0.4075]]}


[7]
{"formula": "MgInPb2", "functional": "SCAN", "state": "single point on PBEsol structure", "spacegroup": "No. 25", "magnetic_moment_mub_per_cell": 0.00, "ef_ev_per_atom": -0.04, "lattice_angstrom": [[-1.9359, -2.6820, 0.8135], [2.6118, -2.6984, -2.6809], [4.0695, -1.3291, 5.3024]], "species": ["Pb", "Pb", "Mg", "In"], "frac_coords": [[0.0000, 0.0000, 0.9790], [0.5000, 0.5000, 0.2647], [0.5000, 0.5000, 0.7453], [0.0000, 0.0000, 0.5110]]}


[8]
{"formula": "Ca2LaCd2", "functional": "SCAN", "state": "single point on PBEsol structure", "spacegroup": "No. 127", "magnetic_moment_mub_per_cell": 0.00, "ef_ev_per_atom": -0.30, "lattice_angstrom": [[4.2444, 0.0000, 0.0000], [0.0000, 8.4515, 0.0000], [0.0000, 0.0000, 8.4515]], "species": ["Cd", "Cd", "Cd", "Cd", "Ca", "Ca", "Ca", "Ca", "La", "La"], "frac_coords": [[0.0000, 0.3738, 0.8738], [0.0000, 0.6262, 0.1262], [0.0000, 0.8738, 0.6262], [0.0000, 0.1262, 0.3738], [0.5000, 0.3321, 0.1679], [0.5000, 0.1679, 0.6679], [0.5000, 0.8321, 0.3321], [0.5000, 0.6679, 0.8321], [0.0000, 0.0000, 0.0000], [0.0000, 0.5000, 0.5000]]}


[9]
{"formula": "ScMnCl2", "functional": "SCAN", "state": "single point on PBEsol structure", "e_form_raw_mev_per_atom": -1036, "spacegroup": "No. 71", "magnetic_moment_mub_per_cell": 3.98, "polymorph_energy_mev_per_atom": 0, "lattice_angstrom": [[-0.1947, 3.2827, 0.7620], [-3.7082, 0.4062, -2.6972], [-1.5869, -3.1382, 5.6373]], "species": ["Cl", "Cl", "Mn", "Sc"], "frac_coords": [[0.6533, 0.6533, 0.3067], [0.3467, 0.3467, 0.6933], [0.5000, 0.0000, 0.0000], [0.0000, 0.5000, 0.0000]]}


[10]
{"formula": "ScFe2", "functional": "SCAN", "state": "single point on PBEsol structure", "spacegroup": "No. 139", "magnetic_moment_mub_per_cell": 4.37, "ef_ev_per_atom": 0.03, "lattice_angstrom": [[2.9661, 0.0000, 0.0000], [0.0000, 2.9661, 0.0000], [-1.4830, -1.4830, 4.6731]], "species": ["Fe", "Fe", "Sc"], "frac_coords": [[0.6885, 0.6885, 0.3769], [0.3115, 0.3115, 0.6231], [0.0000, 0.0000, 0.0000]]}


[11]
{"formula": "SrPt2Pb", "functional": "SCAN", "state": "single point on PBEsol structure", "spacegroup": "No. 160", "magnetic_moment_mub_per_cell": 0.00, "ef_ev_per_atom": -0.58, "lattice_angstrom": [[4.5008, 0.0000, 0.0000], [2.2504, 3.8930, -0.0287], [2.2504, 1.3397, 5.6187]], "species": ["Pt", "Pt", "Pb", "Sr"], "frac_coords": [[0.6988, 0.6991, 0.9032], [0.0327, 0.0325, 0.9021], [0.2848, 0.2848, 0.1457], [0.4837, 0.4836, 0.5490]]}


[12]
{"formula": "MnAs2S2O4F12", "functional": "SCAN", "state": "single point on PBEsol structure", "e_form_raw_mev_per_atom": -2000, "spacegroup": "No. 43", "magnetic_moment_mub_per_cell": 10.00, "lattice_angstrom": [[-0.3820, -8.3754, -2.7948], [-1.0944, 1.4192, 8.6541], [-8.0546, 4.2949, -4.1755]], "species": ["F", "F", "F", "F", "F", "F", "F", "F", "F", "F", "F", "F", "F", "F", "F", "F", "F", "F", "F", "F", "F", "F", "F", "F", "As", "As", "As", "As", "S", "S", "S", "S", "O", "O", "O", "O", "O", "O", "O", "O", "Mn", "Mn"], "frac_coords": [[0.2715, 0.1455, 0.1522], [0.7927, 0.2444, 0.8660], [0.4944, 0.5427, 0.3660], [0.6342, 0.1400, 0.0776], [0.0624, 0.5566, 0.9224], [0.6387, 0.8491, 0.5815], [0.1767, 0.1284, 0.6340], [0.2676, 0.0572, 0.4185], [0.3784, 0.9267, 0.1340], [0.6800, 0.0096, 0.4043], [0.3693, 0.7433, 0.3478], [0.3072, 0.0176, 0.9185], [0.2596, 0.4300, 0.9043], [0.8066, 0.8124, 0.4224], [0.5159, 0.3509, 0.8089], [0.0991, 0.3887, 0.0815], [0.5256, 0.3553, 0.0957], [0.9570, 0.2919, 0.6911], [0.6053, 0.2756, 0.5957], [0.6009, 0.2659, 0.3089], [0.3955, 0.0215, 0.6522], [0.9933, 0.1193, 0.8478], [0.3900, 0.3842, 0.5776], [0.5419, 0.7070, 0.1911], [0.5849, 0.7718, 0.3891], [0.3827, 0.1958, 0.6109], [0.4458, 0.1327, 0.1109], [0.0218, 0.3349, 0.8891], [0.0008, 0.6928, 0.1894], [0.5033, 0.8113, 0.8106], [0.0613, 0.2533, 0.3106], [0.9428, 0.7508, 0.6894], [0.9688, 0.5941, 0.2846], [0.9194, 0.5852, 0.5858], [0.8441, 0.7188, 0.7846], [0.9342, 0.0594, 0.2154], [0.3094, 0.6842, 0.7154], [0.5837, 0.7495, 0.9142], [0.8352, 0.6694, 0.0858], [0.9995, 0.3337, 0.4142], [0.7978, 0.2978, 0.5000], [0.5478, 0.5478, 0.0000]]}


[13]
{"formula": "Zr3GaSi", "functional": "SCAN", "state": "single point on PBEsol structure", "e_form_raw_mev_per_atom": 19, "spacegroup": "No. 221", "magnetic_moment_mub_per_cell": 0.00, "lattice_angstrom": [[4.8510, 0.0000, 0.0000], [0.0000, 4.8510, 0.0000], [0.0000, 0.0000, 4.8510]], "species": ["Zr", "Zr", "Zr", "Si", "Ga"], "frac_coords": [[0.5000, 0.0000, 0.0000], [0.0000, 0.0000, 0.5000], [0.0000, 0.5000, 0.0000], [0.0000, 0.0000, 0.0000], [0.5000, 0.5000, 0.5000]]}


[14]
{"formula": "Ca4ScOs", "functional": "SCAN", "state": "single point on PBEsol structure", "spacegroup": "No. 216", "magnetic_moment_mub_per_cell": 0.00, "ef_ev_per_atom": 1.13, "lattice_angstrom": [[6.0538, 0.0000, 0.0000], [3.0269, 5.2427, 0.0000], [3.0269, 1.7476, 4.9429]], "species": ["Ca", "Ca", "Ca", "Ca", "Os", "Sc"], "frac_coords": [[0.3771, 0.3771, 0.3771], [0.8687, 0.3771, 0.3771], [0.3771, 0.3771, 0.8687], [0.3771, 0.8687, 0.3771], [0.7500, 0.7500, 0.7500], [0.0000, 0.0000, 0.0000]]}


[15]
{"formula": "KAsAuBr2", "functional": "SCAN", "state": "single point on PBEsol structure", "e_form_raw_mev_per_atom": -403, "spacegroup": "No. 123", "magnetic_moment_mub_per_cell": 1.68, "lattice_angstrom": [[-1.8962, -4.3528, -0.9394], [-0.6645, -0.8908, 5.4691], [-5.0916, 2.2717, -0.2486]], "species": ["Br", "Br", "Au", "As", "K"], "frac_coords": [[0.0000, 0.0000, 0.5000], [0.0000, 0.5000, 0.0000], [0.0000, 0.0000, 0.0000], [0.5000, 0.0000, 0.0000], [0.5000, 0.5000, 0.5000]]}


[16]
{"formula": "KCa2Ir", "functional": "SCAN", "state": "single point on PBEsol structure", "spacegroup": "No. 38", "magnetic_moment_mub_per_cell": 0.04, "polymorph_energy_mev_per_atom": 71, "ef_ev_per_atom": 0.07, "lattice_angstrom": [[-0.7022, -1.4294, -3.1754], [4.3736, -0.2892, -0.8370], [-2.0325, -7.9046, 4.0077]], "species": ["K", "Ca", "Ca", "Ir"], "frac_coords": [[0.5000, 0.2857, 0.6958], [0.5000, 0.6136, 0.3523], [0.0000, 0.9767, 0.0788], [0.0000, 0.1240, 0.3731]]}


[17]
{"formula": "Zr3ZnSb", "functional": "SCAN", "state": "single point on PBEsol structure", "e_form_raw_mev_per_atom": 139, "spacegroup": "No. 221", "magnetic_moment_mub_per_cell": 0.00, "lattice_angstrom": [[-0.7383, -4.7602, -0.7725], [4.6529, -0.4977, -1.3800], [1.2677, -0.9456, 4.6152]], "species": ["Zn", "Zr", "Zr", "Zr", "Sb"], "frac_coords": [[0.0000, 0.0000, 0.0000], [0.0000, 0.0000, 0.5000], [0.5000, 0.0000, 0.0000], [0.0000, 0.5000, 0.0000], [0.5000, 0.5000, 0.5000]]}


[18]
{"formula": "TcTe2As", "functional": "SCAN", "state": "single point on PBEsol structure", "e_form_raw_mev_per_atom": 11, "spacegroup": "No. 8", "magnetic_moment_mub_per_cell": 0.00, "lattice_angstrom": [[3.2456, 0.0000, 0.0000], [-1.6228, 4.2920, -0.0170], [0.0000, -2.1370, 7.0067]], "species": ["Tc", "Te", "Te", "As"], "frac_coords": [[0.3103, 0.6206, 0.6372], [0.8973, 0.7945, 0.9458], [0.7048, 0.4096, 0.3063], [0.5877, 0.1753, 0.6107]]}


[19]
{"formula": "Cu3Ni", "functional": "SCAN", "state": "single point on PBEsol structure", "spacegroup": "No. 65", "magnetic_moment_mub_per_cell": 0.00, "ef_ev_per_atom": 0.07, "lattice_angstrom": [[-2.0668, -0.1874, 1.2604], [0.3800, -1.8452, -1.5317], [3.9536, -4.0657, 5.8787]], "species": ["Cu", "Cu", "Cu", "Ni"], "frac_coords": [[0.0000, 0.0000, 0.2529], [0.5000, 0.5000, 0.0000], [0.0000, 0.0000, 0.7471], [0.5000, 0.5000, 0.5000]]}


[20]
{"formula": "AgOsPt2I", "functional": "SCAN", "state": "single point on PBEsol structure", "e_form_raw_mev_per_atom": 1226, "spacegroup": "No. 123", "magnetic_moment_mub_per_cell": 0.00, "lattice_angstrom": [[-3.0559, 0.5757, -3.6132], [3.3980, -1.2986, -3.0809], [-1.5049, -5.0488, 0.4684]], "species": ["Pt", "Pt", "I", "Ag", "Os"], "frac_coords": [[0.5000, 0.0000, 0.0000], [0.0000, 0.5000, 0.0000], [0.0000, 0.0000, 0.5000], [0.5000, 0.5000, 0.5000], [0.0000, 0.0000, 0.0000]]}